Density functional theory data (PBEsol) for a geometry-optimized TiNb3Sn structure.

Values from the calculation:
DOS at the Fermi energy (states/eV per cell): 7.7
VASP energy (eV/atom): -7.287
Size of the total moment (μB per cell): 0.00
Formation energy from the elements (eV/atom): 1.722

Geometry as CIF:
```
data_TiNb3Sn
_space_group_name_H-M_alt 'P m -3 m'
_space_group_IT_number 221
_space_group_name_Hall '-P 4 2 3'
_cell_length_a 4.956
_cell_length_b 4.956
_cell_length_c 4.956
_cell_angle_alpha 90.00
_cell_angle_beta 90.00
_cell_angle_gamma 90.00
loop_
_atom_site_label
_atom_site_fract_x
_atom_site_fract_y
_atom_site_fract_z
Ti1 0.000 0.000 0.000
Nb1 0.000 0.500 0.500
Sn1 0.500 0.500 0.500
```